Crystalline EuIn2Rh at its relaxed geometry, computed with PBE.

a b c (Å): 3.402 3.402 7.825
angles (deg): 90.00 90.00 90.00
Last column: magnetic moment on the atom in μB.
Atoms (fractional coordinates):
Eu (0.500, 0.500, 0.500)  6.86
Rh (0.500, 0.500, 0.000)  0.02
In (0.000, 0.000, 0.805)  -0.01
In (0.000, 0.000, 0.195)  -0.01

Results
The calculated total energy comes out at -24.68 eV/cell. As for the crystal system: tetragonal. Its space group is No. 123. As for the energy relative to the elements: -0.3933 eV per atom. The calculation puts the energy relative to the lowest polymorph listed for this composition at 154.6 meV/atom.